# PBE+U Cs4TlV3F12, optimized geometry
data_Cs4TlV3F12
_space_group_name_H-M_alt 'I m -3 m'
_space_group_IT_number 229
_space_group_name_Hall '-I 4 2 3'
_cell_length_a 9.0521
_cell_length_b 9.0521
_cell_length_c 9.0521
_cell_angle_alpha 90.00
_cell_angle_beta 90.00
_cell_angle_gamma 90.00
loop_
_atom_site_label
_atom_site_fract_x
_atom_site_fract_y
_atom_site_fract_z
_atom_site_occupancy
Cs1 0.2500 0.2500 0.2500 1
Tl1 0.0000 0.0000 0.0000 1
V1 0.0000 0.0000 0.5000 1
F1 0.0000 0.0000 0.2832 1
F2 0.0000 0.2500 0.5000 1
# Calculated density (g/cm³): 5.00
# Final energy (eV/atom): -5.16